An optimized crystal structure of ZrCuHgH2. Source: Alexandria, functional PBE.

The space group is P4/mmm (No. 123) and the conventional cell measures 3.987, 3.987 and 5.137 Å, with angles of 90.00, 90.00 and 90.00 degrees. Symmetry generates all atoms from Zr at (0.000, 0.000, 0.000), Cu at (0.000, 0.000, 0.500), Hg at (0.500, 0.500, 0.000) and H at (0.000, 0.500, 0.500).

For the calculated volume, the calculation gives 82 Å³/cell.

=====

An optimized crystal structure of Ta4TlSe8. Source: Alexandria, functional PBE.

The space group is C2/m (No. 12) and the conventional cell measures 17.857, 3.498 and 12.483 Å, with angles of 90.00, 130.64 and 90.00 degrees. Symmetry generates all atoms from Ta at (0.156, 0.000, 0.476), Ta at (0.178, 0.500, 0.863), Tl at (0.000, 0.000, 0.000), Se at (0.038, 0.000, 0.746), Se at (0.129, 0.500, 0.599), Se at (0.156, 0.500, 0.318) and Se at (0.193, 0.500, 0.082).

For the calculated volume, the calculation gives 592 Å³/cell.

=====

An optimized crystal structure of Sm4TmTh2. Source: Alexandria, functional PBE.

The space group is P2/m (No. 10) and the conventional cell measures 5.826, 5.719 and 7.320 Å, with angles of 90.00, 100.36 and 90.00 degrees. Symmetry generates all atoms from Sm at (0.002, 0.000, 0.271), Sm at (0.334, 0.500, 0.669), Tm at (0.500, 0.000, 0.000), Th at (0.000, 0.500, 0.000) and Th at (0.500, 0.000, 0.500).

For the calculated volume, the calculation gives 240 Å³/cell. The formation enthalpy at 0 K comes out at 2.53 eV/f.u.

=====

no.,size of the total moment (Bohr magnetons per cell),electronic total energy (hartree per atom)
1,0.00,-0.1182
2,0.00,-0.2444
3,0.00,-0.1872